(1)
## UPaAu2 (GGA-PBE)

Data for a relaxed structure of UPaAu2.

The space group is P4/mmm (No. 123) and the conventional cell measures 4.4243, 4.4243 and 4.4795 Å, with angles of 90.00, 90.00 and 90.00 degrees. Symmetry generates all atoms from U at (0.0000, 0.0000, 0.0000), Pa at (0.5000, 0.5000, 0.0000) and Au at (0.0000, 0.5000, 0.5000).

The formation energy is -0.50 eV/f.u. The value obtained for the offset from the most stable computed form is 0.0000 eV/atom. The value obtained for the calculated total energy is -6.96 eV/atom.

(2)
## ZrUPaAu (GGA-PBE)

Data for a relaxed structure of ZrUPaAu.

The space group is F-43m (No. 216) and the conventional cell measures 7.0345, 7.0345 and 7.0345 Å, with angles of 90.00, 90.00 and 90.00 degrees. Symmetry generates all atoms from Zr at (0.0000, 0.0000, 0.0000), U at (0.2500, 0.2500, 0.2500), Pa at (0.0000, 0.0000, 0.5000) and Au at (0.2500, 0.2500, 0.7500).

The formation energy is 0.17 eV/f.u. The value obtained for the calculated total energy is -8.11 eV/atom.